This record from OQMD describes a relaxed Cs2SbAuCl6 crystal. The functional is PBE-GGA.

a b c (Å): 7.6039 7.6039 7.6034
angles (deg): 119.96 119.96 60.04
Last column: nearest neighbours and their distance in Å.
Atoms (fractional coordinates):
Cl (0.7518, 0.2470, 0.2473)  1 Sb 2.66, 1 Au 2.71
Cl (0.7523, 0.7523, 0.7515)  1 Sb 2.66, 1 Au 2.71
Cl (0.2477, 0.2477, 0.2485)  1 Sb 2.66, 1 Au 2.71
Cl (0.2482, 0.7530, 0.7527)  1 Sb 2.66, 1 Au 2.71
Cl (0.7530, 0.2482, 0.7527)  1 Sb 2.66, 1 Au 2.71
Cl (0.2470, 0.7518, 0.2473)  1 Sb 2.66, 1 Au 2.71
Au (0.5000, 0.5000, 0.5000)  6 Cl 2.71
Cs (0.2502, 0.2502, 0.7500)  12 Cl 3.79-3.81
Cs (0.7498, 0.7498, 0.2500)  12 Cl 3.79-3.81
Sb (0.0000, 0.0000, 0.0000)  6 Cl 2.66

Calculated values
* volume: 311 Å³/cell
* total DFT energy (no corrections): -0.2349 Ry/atom